Record 1
The following is a PBE-GGA calculation of crystalline ThCo2P at its relaxed geometry, from Alexandria.

The calculation puts the energy of formation from the pure elements at -0.7235 eV/atom. The value obtained for the size of the total moment is 0.0 μB per formula unit. The volume comes out at 63 Å³/f.u. As for the crystal system: trigonal. The calculation puts the theoretical density at 10.071 Mg/m³.

The space group is R-3m (No. 166, hexagonal axes) and the conventional cell measures 3.8518, 3.8518 and 14.6629 Å, with angles of 90.00, 90.00 and 120.00 degrees. The asymmetric unit holds Th at (0.0000, 0.0000, 0.0000), Co at (0.0000, 0.0000, 0.2070) and P at (0.0000, 0.0000, 0.5000).

***

Record 2
The following is a PBE-GGA calculation of crystalline Th2Co12P7 at its relaxed geometry, from Alexandria.

The calculation puts the energy of formation from the pure elements at -0.7630 eV/atom. The value obtained for the size of the total moment is 5.0 μB per formula unit. The volume comes out at 263 Å³/f.u. As for the crystal system: hexagonal. The calculation puts the theoretical density at 8.778 Mg/m³.

The space group is P-6 (No. 174) and the conventional cell measures 9.0905, 9.0905 and 3.6690 Å, with angles of 90.00, 90.00 and 120.00 degrees. The asymmetric unit holds Th at (0.0000, 0.0000, 0.0000), Th at (0.3333, 0.6667, 0.5000), Co at (0.0461, 0.7670, 0.5000), Co at (0.1021, 0.3950, 0.0000), Co at (0.3960, 0.2117, 0.0000), Co at (0.5398, 0.1015, 0.5000), P at (0.0649, 0.6271, 0.0000), P at (0.2721, 0.0404, 0.5000) and P at (0.6667, 0.3333, 0.0000).

***

Record 3
The following is a PBE-GGA calculation of crystalline Th2CoP at its relaxed geometry, from Alexandria.

The calculation puts the energy of formation from the pure elements at -0.0868 eV/atom. The value obtained for the size of the total moment is 0.0 μB per formula unit. The volume comes out at 104 Å³/f.u. As for the crystal system: trigonal. The calculation puts the theoretical density at 8.875 Mg/m³.

The space group is R-3m (No. 166, hexagonal axes) and the conventional cell measures 3.7465, 3.7465 and 25.5808 Å, with angles of 90.00, 90.00 and 120.00 degrees. The asymmetric unit holds Th at (0.0000, 0.0000, 0.0947), Co at (0.0000, 0.0000, 0.0000) and P at (0.0000, 0.0000, 0.5000).

***

Record 4
The following is a PBE-GGA calculation of crystalline ThCo2P2 at its relaxed geometry, from Alexandria.

The calculation puts the energy of formation from the pure elements at -1.0613 eV/atom. The value obtained for the size of the total moment is 0.6 μB per formula unit. The volume comes out at 74 Å³/f.u. As for the crystal system: tetragonal. The calculation puts the theoretical density at 9.245 Mg/m³.

The space group is P4/nmm (No. 129, origin choice 2) and the conventional cell measures 4.031, 4.031 and 9.105 Å, with angles of 90.00, 90.00 and 90.00 degrees. The asymmetric unit holds Th at (0.250, 0.250, 0.249), Co at (0.250, 0.250, 0.890), Co at (0.250, 0.750, 0.500), P at (0.250, 0.250, 0.631) and P at (0.250, 0.750, 0.000).

***

Record 5
The following is a PBE-GGA calculation of crystalline ThCo4P2 at its relaxed geometry, from Alexandria.

The calculation puts the energy of formation from the pure elements at -0.7546 eV/atom. The value obtained for the size of the total moment is 0.0 μB per formula unit. The calculation puts the relative energy among the computed polymorphs at 0 meV/atom. The volume comes out at 95 Å³/f.u. As for the crystal system: orthorhombic. The calculation puts the theoretical density at 9.297 Mg/m³.

The space group is Pnma (No. 62) and the conventional cell measures 15.970, 3.685 and 6.430 Å, with angles of 90.00, 90.00 and 90.00 degrees. The asymmetric unit holds Th at (0.107, 0.250, 0.048), Co at (0.032, 0.750, 0.345), Co at (0.112, 0.250, 0.527), Co at (0.196, 0.750, 0.340), Co at (0.196, 0.750, 0.724), P at (0.054, 0.750, 0.695) and P at (0.245, 0.250, 0.533).

***

Record 6
The following is a PBE-GGA calculation of crystalline ThCo12P6 at its relaxed geometry, from Alexandria.

The calculation puts the energy of formation from the pure elements at -0.5704 eV/atom. The value obtained for the size of the total moment is 5.1 μB per formula unit. The volume comes out at 231 Å³/f.u. As for the crystal system: trigonal. The calculation puts the theoretical density at 8.098 Mg/m³.

The space group is R-3m (No. 166, hexagonal axes) and the conventional cell measures 10.2188, 10.2188 and 7.6537 Å, with angles of 90.00, 90.00 and 120.00 degrees. The asymmetric unit holds Th at (0.0000, 0.0000, 0.0000), Co at (0.0000, 0.3704, 0.5000), Co at (0.0861, 0.1721, 0.3568) and P at (0.0398, 0.5199, 0.2796).